Record 1
Computed, not measured: crystalline TbSmH at its relaxed geometry at the GGA-PBE level of DFT.

Computed properties:
- SG: No. 107
- Magnetic moment: 0.00 μB per formula unit
- Total energy: -4.36 eV per atom

Geometry as extended XYZ:
```
3
Lattice="-1.786 -0.296 2.891 1.584 -2.945 0.677 4.455 4.652 1.216" Properties=species:S:1:pos:R:3 pbc="T T T"
H 1.904 1.326 1.312
Tb 0.308 0.215 0.212
Sm 2.040 -0.129 3.260
```

Record 2
Computed, not measured: crystalline LiCd2Ir at its relaxed geometry at the GGA-PBE level of DFT.

Computed properties:
- Energy relative to the elements: 0.1 eV per formula unit
- SG: No. 12
- Magnetic moment: 0.35 μB per formula unit
- Total energy: -3.13 eV per atom

Geometry as extended XYZ:
```
4
Lattice="4.877 -0.002 -0.006 4.032 2.744 -0.006 0.663 0.204 5.229" Properties=species:S:1:pos:R:3 pbc="T T T"
Cd 8.840 2.721 -0.002
Cd 4.854 1.494 2.600
Li 7.178 2.210 3.913
Ir 2.393 0.737 1.304
```

Record 3
Computed, not measured: crystalline SmUCl6 at its relaxed geometry at the GGA-PBE level of DFT.

Computed properties:
- SG: No. 163
- Magnetic moment: 3.00 μB per formula unit
- Total energy: -5.32 eV per atom
- Uncorrected formation energy: -15.5 eV per formula unit

Geometry as extended XYZ:
```
16
Lattice="6.838 0.000 0.000 -3.419 5.922 0.000 0.000 0.000 12.745" Properties=species:S:1:pos:R:3 pbc="T T T"
U 3.419 1.974 9.559
U 0.000 3.948 3.186
Cl -1.195 5.849 1.574
Cl 2.224 0.073 7.946
Cl 4.614 0.073 11.171
Cl 1.195 5.849 4.798
Cl 2.370 3.959 7.946
Cl 1.049 1.963 4.798
Cl -1.049 1.963 1.574
Cl 2.244 4.032 1.574
Cl 4.468 3.959 11.171
Cl -2.244 4.032 4.798
Cl 5.663 1.889 7.946
Cl 1.175 1.889 11.171
Sm 0.000 0.000 0.000
Sm 0.000 0.000 6.372
```

Record 4
Computed, not measured: crystalline Sb5Au at its relaxed geometry at the GGA-PBE level of DFT.

Computed properties:
- SG: No. 191
- Magnetic moment: 0.00 μB per formula unit
- Total energy: -3.55 eV per atom
- Uncorrected formation energy: 2.6 eV per formula unit

Geometry as extended XYZ:
```
6
Lattice="3.038 -5.262 0.000 3.038 5.262 0.000 0.000 0.000 5.528" Properties=species:S:1:pos:R:3 pbc="T T T"
Sb 3.038 0.000 2.764
Sb 1.519 -2.631 2.764
Sb 1.519 2.631 2.764
Sb 3.038 1.754 0.000
Sb 3.038 -1.754 0.000
Au 0.000 0.000 0.000
```

Q: Which of these has the highest total energy?
A: LiCd2Ir

Q: Among the records above, which one has the highest magnetic moment?
A: SmUCl6

Q: What is the formula in the fourth record?
A: Sb5Au